Below is a PBEsol-optimized structure of Nb3GeSe, with properties calculated at the SCAN level.

## Properties
Size of the total moment (μB/cell): 0.00
Density of states at the Fermi level (states/eV per cell): 5.12
Formation energy (no corrections) (meV per atom): 722

Cell lengths 4.690, 4.690, 4.690 Å; angles 90.00, 90.00, 90.00 degrees
Space group Pm-3m (No. 221)
Unique sites:
Nb (0.000, 0.000, 0.500) [3 per cell]
Ge (0.500, 0.500, 0.500) [1 per cell]
Se (0.000, 0.000, 0.000) [1 per cell]


Below is a PBEsol-optimized structure of LiHg2Mo, with properties calculated at the SCAN level.

## Properties
DFT formation energy (meV per atom): 389
Size of the total moment (μB/cell): 6.35
Density of states at the Fermi level (states/eV per cell): 3.84

Cell lengths 4.018, 4.018, 8.745 Å; angles 90.00, 90.00, 90.00 degrees
Space group I-4m2 (No. 119)
Unique sites:
Li (0.000, 0.000, 0.000) [2 per cell]
Hg (0.000, 0.000, 0.500) [2 per cell]
Hg (0.000, 0.500, 0.750) [2 per cell]
Mo (0.000, 0.500, 0.250) [2 per cell]


Below is a PBEsol-optimized structure of KBaTa2, with properties calculated at the SCAN level.

## Properties
DFT formation energy (meV per atom): 995
Size of the total moment (μB/cell): 0.00
Density of states at the Fermi level (states/eV per cell): 6.91
Relative energy among the computed polymorphs (kJ/mol of formula units): 12.0

Cell lengths 9.059, 3.160, 9.471 Å; angles 90.00, 92.37, 90.00 degrees
Space group Cm (No. 8)
Unique sites:
K (0.000, 0.000, 0.000) [2 per cell]
Ba (0.235, 0.000, 0.595) [2 per cell]
Ta (0.254, 0.500, 0.276) [2 per cell]
Ta (0.485, 0.000, 0.348) [2 per cell]


Below is a PBEsol-optimized structure of MnCoTeI2, with properties calculated at the SCAN level.

## Properties
Size of the total moment (μB/cell): 7.29
Density of states at the Fermi level (states/eV per cell): 5.22
Formation energy (no corrections) (meV per atom): 586

Cell lengths 5.267, 5.267, 5.325 Å; angles 90.00, 90.00, 90.00 degrees
Space group P4/mmm (No. 123)
Unique sites:
Mn (0.000, 0.000, 0.000) [1 per cell]
Co (0.500, 0.500, 0.500) [1 per cell]
Te (0.000, 0.000, 0.500) [1 per cell]
I (0.000, 0.500, 0.000) [2 per cell]


Below is a PBEsol-optimized structure of YCrHI2, with properties calculated at the SCAN level.

## Properties
Size of the total moment (μB/cell): 3.83
Density of states at the Fermi level (states/eV per cell): 2.53
Raw total energy (eV/cell): -124.60

Cell lengths 5.502, 5.502, 3.597 Å; angles 90.00, 90.00, 90.00 degrees
Space group P4/mmm (No. 123)
Unique sites:
Y (0.000, 0.000, 0.000) [1 per cell]
Cr (0.500, 0.500, 0.500) [1 per cell]
H (0.500, 0.500, 0.000) [1 per cell]
I (0.000, 0.500, 0.500) [2 per cell]


Below is a PBEsol-optimized structure of Sc2CoNi, with properties calculated at the SCAN level.

## Properties
DFT formation energy (meV per atom): 57
Size of the total moment (μB/cell): 1.90
Density of states at the Fermi level (states/eV per cell): 10.25

Cell lengths 3.1218, 3.1218, 22.2998 Å; angles 90.00, 90.00, 120.00 degrees
Space group R-3m (No. 166, hexagonal axes)
Unique sites:
Sc (0.0000, 0.0000, 0.2479) [6 per cell]
Co (0.0000, 0.0000, 0.5000) [3 per cell]
Ni (0.0000, 0.0000, 0.0000) [3 per cell]


Below is a PBEsol-optimized structure of TcW5, with properties calculated at the SCAN level.

## Properties
DFT formation energy (meV per atom): 18
Size of the total moment (μB/cell): 0.00
Density of states at the Fermi level (states/eV per cell): 7.16
Relative energy among the computed polymorphs (kJ/mol of formula units): 0.0

Cell lengths 3.136, 13.300, 4.440 Å; angles 90.00, 90.00, 90.00 degrees
Space group Cmmm (No. 65)
Unique sites:
Tc (0.000, 0.000, 0.000) [2 per cell]
W (0.000, 0.165, 0.500) [4 per cell]
W (0.000, 0.333, 0.000) [4 per cell]
W (0.000, 0.500, 0.500) [2 per cell]


Below is a PBEsol-optimized structure of LiSi2Ru, with properties calculated at the SCAN level.

## Properties
Size of the total moment (μB/cell): 0.00
Density of states at the Fermi level (states/eV per cell): 1.51
Relative energy among the computed polymorphs (kJ/mol of formula units): 0.0
Formation energy (no corrections) (meV per atom): -312

Cell lengths 9.066, 2.869, 3.986 Å; angles 90.00, 91.96, 90.00 degrees
Space group Cm (No. 8)
Unique sites:
Li (0.000, 0.000, 0.000) [2 per cell]
Si (0.076, 0.500, 0.500) [2 per cell]
Si (0.240, 0.500, 0.957) [2 per cell]
Ru (0.302, 0.000, 0.439) [2 per cell]


Q: Look up the density of states at the Fermi level of the first one.
A: 5.12 states/eV per cell